Record 1
# TmThCdC (GGA-PBE, relaxed)
data_TmThCdC
_cell_length_a 3.570
_cell_length_b 3.568
_cell_length_c 8.637
_cell_angle_alpha 89.99
_cell_angle_beta 101.95
_cell_angle_gamma 119.98
_space_group_name_H-M_alt 'P 1'
_space_group_IT_number 1
loop_
_space_group_symop_operation_xyz
'x,y,z'
loop_
_atom_site_label
_atom_site_fract_x
_atom_site_fract_y
_atom_site_fract_z
Cd1 0.980 0.388 0.383
Tm1 0.525 0.160 0.700
Th1 0.079 0.937 0.032
C1 0.294 0.545 0.855
# - symmetry = No. 160
# - energy of formation from the pure elements (kJ/mol of atoms) = -27.14

=====

Record 2
# Li2Tb2YIn2 (GGA-PBE, relaxed)
data_Li2Tb2YIn2
_cell_length_a 4.847
_cell_length_b 4.847
_cell_length_c 9.303
_cell_angle_alpha 74.90
_cell_angle_beta 74.90
_cell_angle_gamma 60.00
_space_group_name_H-M_alt 'P 1'
_space_group_IT_number 1
loop_
_space_group_symop_operation_xyz
'x,y,z'
loop_
_atom_site_label
_atom_site_fract_x
_atom_site_fract_y
_atom_site_fract_z
Y1 0.000 0.000 0.000
Li1 0.395 0.395 0.814
Li2 0.605 0.605 0.186
Tb1 0.128 0.128 0.617
In1 0.737 0.737 0.788
In2 0.263 0.263 0.212
Tb2 0.872 0.872 0.383
# - symmetry = No. 166
# - energy of formation from the pure elements (kJ/mol of atoms) = -22.79

=====

Record 3
# K3La (GGA-PBE, relaxed)
data_K3La
_cell_length_a 3.694
_cell_length_b 6.974
_cell_length_c 8.580
_cell_angle_alpha 90.00
_cell_angle_beta 90.00
_cell_angle_gamma 90.00
_space_group_name_H-M_alt 'P 1'
_space_group_IT_number 1
loop_
_space_group_symop_operation_xyz
'x,y,z'
loop_
_atom_site_label
_atom_site_fract_x
_atom_site_fract_y
_atom_site_fract_z
K1 0.000 0.000 0.500
K2 0.500 0.500 0.765
La1 0.000 0.000 0.000
K3 0.500 0.500 0.235
# - symmetry = No. 47
# - energy of formation from the pure elements (kJ/mol of atoms) = 35.98

=====

Record 4
# CaSm2ThS4 (GGA-PBE, relaxed)
data_CaSm2ThS4
_cell_length_a 3.998
_cell_length_b 7.023
_cell_length_c 6.925
_cell_angle_alpha 109.19
_cell_angle_beta 90.00
_cell_angle_gamma 90.00
_space_group_name_H-M_alt 'P 1'
_space_group_IT_number 1
loop_
_space_group_symop_operation_xyz
'x,y,z'
loop_
_atom_site_label
_atom_site_fract_x
_atom_site_fract_y
_atom_site_fract_z
S1 0.500 0.246 0.247
Sm1 0.000 0.500 0.500
Sm2 0.500 0.000 0.500
S2 0.000 0.245 0.750
S3 0.000 0.755 0.250
Th1 0.500 0.500 0.000
S4 0.500 0.754 0.753
Ca1 0.000 0.000 0.000
# - formation energy (no corrections) (meV per atom) = -1971
# - symmetry = No. 10

=====

Record 5
# Ac2CdRh (GGA-PBE, relaxed)
data_Ac2CdRh
_cell_length_a 3.810
_cell_length_b 3.810
_cell_length_c 8.190
_cell_angle_alpha 90.00
_cell_angle_beta 90.00
_cell_angle_gamma 90.00
_space_group_name_H-M_alt 'P 1'
_space_group_IT_number 1
loop_
_space_group_symop_operation_xyz
'x,y,z'
loop_
_atom_site_label
_atom_site_fract_x
_atom_site_fract_y
_atom_site_fract_z
Ac1 0.000 0.000 0.217
Rh1 0.500 0.500 0.000
Ac2 0.000 0.000 0.783
Cd1 0.500 0.500 0.500
# - symmetry = No. 123
# - energy of formation from the pure elements (kJ/mol of atoms) = -40.86

=====

Record 6
# SrAg2BiF8 (GGA-PBE, relaxed)
data_SrAg2BiF8
_cell_length_a 4.115
_cell_length_b 5.739
_cell_length_c 8.151
_cell_angle_alpha 84.70
_cell_angle_beta 89.74
_cell_angle_gamma 85.57
_space_group_name_H-M_alt 'P 1'
_space_group_IT_number 1
loop_
_space_group_symop_operation_xyz
'x,y,z'
loop_
_atom_site_label
_atom_site_fract_x
_atom_site_fract_y
_atom_site_fract_z
F1 0.532 0.770 0.025
F2 0.045 0.757 0.784
F3 0.041 0.761 0.252
F4 0.470 0.251 0.476
F5 0.959 0.239 0.748
Sr1 0.000 0.000 0.500
Ag1 0.491 0.495 0.745
Ag2 0.509 0.505 0.255
F6 0.955 0.243 0.216
Bi1 0.000 0.000 0.000
F7 0.530 0.749 0.524
F8 0.468 0.230 0.975
# - formation energy (no corrections) (meV per atom) = -2251
# - symmetry = No. 2

=====

Record 7
# CaSmTlAu (GGA-PBE, relaxed)
data_CaSmTlAu
_cell_length_a 3.736
_cell_length_b 3.736
_cell_length_c 7.737
_cell_angle_alpha 90.00
_cell_angle_beta 90.00
_cell_angle_gamma 90.00
_space_group_name_H-M_alt 'P 1'
_space_group_IT_number 1
loop_
_space_group_symop_operation_xyz
'x,y,z'
loop_
_atom_site_label
_atom_site_fract_x
_atom_site_fract_y
_atom_site_fract_z
Sm1 0.000 0.000 0.832
Au1 0.500 0.500 0.620
Tl1 0.500 0.500 0.103
Ca1 0.000 0.000 0.373
# - ΔE to the lowest computed polymorph (meV/atom) = 0
# - symmetry = No. 99
# - energy of formation from the pure elements (kJ/mol of atoms) = -58.14

=====

Record 8
# BaTaO2 (GGA-PBE, relaxed)
data_BaTaO2
_cell_length_a 4.362
_cell_length_b 4.362
_cell_length_c 4.362
_cell_angle_alpha 60.00
_cell_angle_beta 60.00
_cell_angle_gamma 60.00
_space_group_name_H-M_alt 'P 1'
_space_group_IT_number 1
loop_
_space_group_symop_operation_xyz
'x,y,z'
loop_
_atom_site_label
_atom_site_fract_x
_atom_site_fract_y
_atom_site_fract_z
O1 0.750 0.750 0.750
O2 0.250 0.250 0.250
Ba1 0.000 0.000 0.000
Ta1 0.500 0.500 0.500
# - ΔE to the lowest computed polymorph (meV/atom) = 1282
# - formation energy (no corrections) (meV per atom) = -617
# - symmetry = No. 225

=====

Record 9
# Be2AgAu3 (GGA-PBE, relaxed)
data_Be2AgAu3
_cell_length_a 2.933
_cell_length_b 2.933
_cell_length_c 10.248
_cell_angle_alpha 90.00
_cell_angle_beta 90.00
_cell_angle_gamma 90.00
_space_group_name_H-M_alt 'P 1'
_space_group_IT_number 1
loop_
_space_group_symop_operation_xyz
'x,y,z'
loop_
_atom_site_label
_atom_site_fract_x
_atom_site_fract_y
_atom_site_fract_z
Ag1 0.500 0.500 0.500
Be1 0.500 0.500 0.150
Au1 0.000 0.000 0.710
Au2 0.000 0.000 0.290
Au3 0.000 0.000 0.000
Be2 0.500 0.500 0.850
# - ΔE to the lowest computed polymorph (meV/atom) = 0
# - symmetry = No. 123
# - energy of formation from the pure elements (kJ/mol of atoms) = -11.49

=====

Record 10
# Rb4MgSe4O14 (GGA-PBE, relaxed)
data_Rb4MgSe4O14
_cell_length_a 7.972
_cell_length_b 8.514
_cell_length_c 8.199
_cell_angle_alpha 94.08
_cell_angle_beta 91.06
_cell_angle_gamma 118.60
_space_group_name_H-M_alt 'P 1'
_space_group_IT_number 1
loop_
_space_group_symop_operation_xyz
'x,y,z'
loop_
_atom_site_label
_atom_site_fract_x
_atom_site_fract_y
_atom_site_fract_z
O1 0.122 0.991 0.195
Se1 0.796 0.764 0.673
Rb1 0.633 0.784 0.175
O2 0.976 0.966 0.728
O3 0.959 0.364 0.846
O4 0.770 0.137 0.079
O5 0.457 0.173 0.406
Rb2 0.324 0.884 0.636
O6 0.651 0.759 0.523
O7 0.233 0.744 0.299
Se2 0.753 0.164 0.879
O8 0.894 0.625 0.633
O9 0.158 0.249 0.429
Rb3 0.279 0.316 0.809
O10 0.295 0.839 0.982
O11 0.668 0.661 0.834
O12 0.388 0.353 0.165
O13 0.927 0.651 0.085
Se3 0.302 0.215 0.308
Mg1 0.817 0.508 0.855
O14 0.598 0.256 0.858
Rb4 0.877 0.372 0.359
Se4 0.156 0.799 0.136
# - ΔE to the lowest computed polymorph (meV/atom) = 1
# - formation energy (no corrections) (meV per atom) = -1269
# - symmetry = No. 1

=====

Record 11
# ScVNiB2 (GGA-PBE, relaxed)
data_ScVNiB2
_cell_length_a 4.016
_cell_length_b 4.229
_cell_length_c 4.016
_cell_angle_alpha 90.00
_cell_angle_beta 90.00
_cell_angle_gamma 90.00
_space_group_name_H-M_alt 'P 1'
_space_group_IT_number 1
loop_
_space_group_symop_operation_xyz
'x,y,z'
loop_
_atom_site_label
_atom_site_fract_x
_atom_site_fract_y
_atom_site_fract_z
B1 0.500 0.000 0.000
B2 0.000 0.000 0.500
Sc1 0.500 0.500 0.500
V1 0.000 0.000 0.000
Ni1 0.000 0.500 0.000
# - symmetry = No. 123
# - energy of formation from the pure elements (kJ/mol of atoms) = 50.03

=====

Record 12
# PrHoH (GGA-PBE, relaxed)
data_PrHoH
_cell_length_a 3.459
_cell_length_b 3.459
_cell_length_c 6.602
_cell_angle_alpha 105.19
_cell_angle_beta 105.19
_cell_angle_gamma 90.00
_space_group_name_H-M_alt 'P 1'
_space_group_IT_number 1
loop_
_space_group_symop_operation_xyz
'x,y,z'
loop_
_atom_site_label
_atom_site_fract_x
_atom_site_fract_y
_atom_site_fract_z
Pr1 0.747 0.747 0.493
Ho1 0.036 0.036 0.073
H1 0.217 0.217 0.434
# - ΔE to the lowest computed polymorph (meV/atom) = 97
# - symmetry = No. 107